Model A:
Entry from the Open Quantum Materials Database: a relaxed NaCoSO crystal (PBE with a Hubbard U).

Lattice parameters (Å, degrees): 6.263 5.981 6.624 90.00 103.25 90.00
Atoms (fractional coordinates):
Na1 0.105 0.233 0.484
Na2 0.105 0.267 0.984
Na3 0.895 0.733 0.016
Na4 0.895 0.767 0.516
Co1 0.472 0.623 0.711
Co2 0.472 0.877 0.211
Co3 0.528 0.123 0.789
Co4 0.528 0.377 0.289
S1 0.262 0.627 0.343
S2 0.262 0.873 0.843
S3 0.738 0.127 0.157
S4 0.738 0.373 0.657
O1 0.344 0.135 0.285
O2 0.344 0.365 0.785
O3 0.656 0.635 0.215
O4 0.656 0.865 0.715

Results
SG = P2_1/c, No. 14
Total moment = 2.0 μB per formula unit
Calculated density = 3.6 Mg/m³

---

Model B:
Entry from the Open Quantum Materials Database: a relaxed NaCoSO crystal (PBE with a Hubbard U).

Lattice parameters (Å, degrees): 3.759 3.759 9.039 90.00 90.00 90.00
Atoms (fractional coordinates):
Na1 0.250 0.750 0.000
Na2 0.750 0.250 0.000
Co1 0.250 0.250 0.420
Co2 0.750 0.750 0.580
S1 0.250 0.250 0.788
S2 0.750 0.750 0.212
O1 0.250 0.750 0.500
O2 0.750 0.250 0.500

Results
SG = P4/nmm, No. 129
Total moment = 3.1 μB per formula unit
Calculated density = 3.4 Mg/m³

---

Question: of the structures shown, which is the most stable? Reply: model A.